Below is crystalline GdErZn4 at its relaxed geometry, with properties calculated at the PBE level.

space-group type = Imm2 (44)
calculated formation energy = -9.00 kcal/mol of atoms

Cell: 5.6371 5.6371 5.6371 Å, 133.35 102.00 96.07°
With the nearest neighbours (Å) after each atom.
Fractional positions:
Zn (0.0400, 0.8339, 0.2061)  3 Zn 2.57-2.58
Zn (0.6278, 0.8339, 0.7939)  3 Zn 2.57-2.58
Er (0.4704, 0.4704, 0.0000)  12 Zn 3.05-3.22
Gd (0.0304, 0.5304, 0.5000)  12 Zn 3.05-3.22
Zn (0.8717, 0.1657, 0.7059)  3 Zn 2.57-2.58
Zn (0.4598, 0.1657, 0.2941)  3 Zn 2.57-2.58